The following is a DFT calculation (PBE) of crystalline Ga3CuNi at its relaxed geometry. Values from VASP.

Summary:
- Formation enthalpy at 0 K: -1.011 eV per formula unit
- Space-group type: C2/c, No. 15
- Polymorph energy (0 for the lowest one): 0 meV/atom

Cell and atoms, written as Quantum ESPRESSO input:
```
&SYSTEM
  ibrav = 0, nat = 20, ntyp = 3
/
ATOMIC_SPECIES
Ga 69.72 Ga.upf
Cu 63.55 Cu.upf
Ni 58.69 Ni.upf
CELL_PARAMETERS angstrom
6.286 -6.152 0.000
6.286 6.152 0.000
-1.308 0.000 3.847
ATOMIC_POSITIONS crystal
Ga 0.027 0.196 0.360
Ga 0.110 0.626 0.118
Ga 0.196 0.027 0.860
Ga 0.296 0.469 0.633
Ga 0.374 0.890 0.382
Ga 0.469 0.296 0.133
Ga 0.531 0.704 0.867
Ga 0.626 0.110 0.618
Ga 0.704 0.531 0.367
Ga 0.804 0.973 0.140
Ga 0.890 0.374 0.882
Ga 0.973 0.804 0.640
Cu 0.175 0.321 0.997
Cu 0.321 0.175 0.497
Cu 0.679 0.825 0.503
Cu 0.825 0.679 0.003
Ni 0.249 0.751 0.750
Ni 0.397 0.603 0.250
Ni 0.603 0.397 0.750
Ni 0.751 0.249 0.250
```